[1]
The following is a DFT calculation (PBE) of a relaxed Ca3TeP2Pd9 crystal.

Calculated values
- Mass density: 6.7 g/cm³

Unit cell a=6.3068 b=6.3068 c=9.1695 alpha=90.00 beta=90.00 gamma=120.00
Space group P-3m1 (No. 164)
Unique sites:
Ca (0.0000, 0.0000, 0.0000) (multiplicity 1)
Ca (0.3333, 0.6667, 0.7012) (multiplicity 2)
Te (0.0000, 0.0000, 0.5000) (multiplicity 1)
P (0.3333, 0.6667, 0.1594) (multiplicity 2)
Pd (0.0000, 0.5000, 0.0000) (multiplicity 3)
Pd (0.1527, 0.3055, 0.2775) (multiplicity 6)

[2]
The following is a DFT calculation (PBE) of a relaxed CaTiPPd2 crystal.

Calculated values
- Mass density: 5.3 g/cm³
- E_form: 0.6 eV per formula unit

Unit cell a=4.537 b=4.537 c=5.086 alpha=90.00 beta=90.00 gamma=90.00
Space group P4/mmm (No. 123)
Unique sites:
Ca (0.000, 0.000, 0.000) (multiplicity 1)
Ti (0.500, 0.500, 0.000) (multiplicity 1)
P (0.000, 0.000, 0.500) (multiplicity 1)
Pd (0.000, 0.500, 0.500) (multiplicity 2)

[3]
The following is a DFT calculation (PBE) of a relaxed CaTl2P2Pd7 crystal.

Calculated values
- Mass density: 9.1 g/cm³
- E_form: -4.8 eV per formula unit

Unit cell a=5.803 b=5.782 c=13.710 alpha=90.00 beta=97.65 gamma=90.00
Space group C2/m (No. 12)
Unique sites:
Ca (0.000, 0.000, 0.000) (multiplicity 2)
Tl (0.103, 0.000, 0.390) (multiplicity 4)
P (0.076, 0.500, 0.244) (multiplicity 4)
Pd (0.000, 0.500, 0.000) (multiplicity 2)
Pd (0.108, 0.500, 0.413) (multiplicity 4)
Pd (0.200, 0.250, 0.840) (multiplicity 8)

[4]
The following is a DFT calculation (PBE) of a relaxed CaTmP2Pd5 crystal.

Calculated values
- Mass density: 8.8 g/cm³
- E_form: -7.6 eV per formula unit

Unit cell a=4.170 b=4.170 c=8.755 alpha=90.00 beta=90.00 gamma=90.00
Space group P4/mmm (No. 123)
Unique sites:
Ca (0.000, 0.000, 0.000) (multiplicity 1)
Tm (0.000, 0.000, 0.500) (multiplicity 1)
P (0.500, 0.500, 0.374) (multiplicity 2)
Pd (0.000, 0.500, 0.243) (multiplicity 4)
Pd (0.500, 0.500, 0.000) (multiplicity 1)

[5]
The following is a DFT calculation (PBE) of a relaxed Ca3ZnP2Pd9 crystal.

Calculated values
- Mass density: 6.8 g/cm³
- E_form: -9.3 eV per formula unit

Unit cell a=5.8924 b=5.8924 c=9.8605 alpha=90.00 beta=90.00 gamma=120.00
Space group P-3m1 (No. 164)
Unique sites:
Ca (0.0000, 0.0000, 0.0000) (multiplicity 1)
Ca (0.3333, 0.6667, 0.6070) (multiplicity 2)
Zn (0.0000, 0.0000, 0.5000) (multiplicity 1)
P (0.3333, 0.6667, 0.1593) (multiplicity 2)
Pd (0.0000, 0.5000, 0.0000) (multiplicity 3)
Pd (0.1567, 0.3134, 0.2971) (multiplicity 6)

[6]
The following is a DFT calculation (PBE) of a relaxed Ca2ZnPPd6 crystal.

Calculated values
- Mass density: 6.9 g/cm³
- E_form: -6.0 eV per formula unit

Unit cell a=5.695 b=6.234 c=6.876 alpha=73.08 beta=65.77 gamma=63.02
Space group P-1 (No. 2)
Unique sites:
Ca (0.223, 0.251, 0.301) (multiplicity 2)
Zn (0.500, 0.500, 0.500) (multiplicity 1)
P (0.000, 0.000, 0.000) (multiplicity 1)
Pd (0.253, 0.625, 0.875) (multiplicity 2)
Pd (0.259, 0.223, 0.779) (multiplicity 2)
Pd (0.260, 0.778, 0.223) (multiplicity 2)

Number 1: total DFT energy (no corrections) -5.087 eV per atom. Number 2: total DFT energy (no corrections) -5.025 eV per atom. Number 3: total DFT energy (no corrections) -4.889 eV per atom. Number 4: total DFT energy (no corrections) -5.654 eV per atom. Number 5: total DFT energy (no corrections) -4.943 eV per atom. Number 6: total DFT energy (no corrections) -4.783 eV per atom.